No. 1
4
Lattice="-2.103 2.478 3.282 -2.656 3.594 -1.165 -4.584 -0.256 0.506" Properties=species:S:1:pos:R:3 comment="SrNiRh2 PBE-GGA optimized geometry" e_tot_ev_per_cell=-20.7 e_above_lowest_polymorph_ev_per_atom=0.4457 pbc="T T T"
Rh -2.336 1.454 0.656
Rh -7.007 4.363 1.967
Ni 0.000 0.000 0.000
Sr -4.671 2.908 1.312

=====

No. 2
8
Lattice="4.507 0.000 0.000 0.000 4.507 0.000 2.254 2.254 4.459" Properties=species:S:1:pos:R:3 comment="CoMoC2 PBE-GGA optimized geometry" e_tot_ev_per_cell=-68.3 e_above_lowest_polymorph_ev_per_atom=0.0000 pbc="T T T"
C 1.242 3.381 1.115
C 5.634 5.519 3.344
C 3.381 3.496 3.344
C 3.265 1.127 1.115
Mo 0.000 0.000 0.000
Mo 4.507 2.254 2.230
Co 2.254 4.507 2.230
Co 2.254 2.254 0.000

=====

No. 3
5
Lattice="4.640 0.000 0.000 0.000 4.640 0.000 0.000 0.000 4.640" Properties=species:S:1:pos:R:3 comment="CdGeW3 PBE-GGA optimized geometry" e_tot_ev_per_cell=-36.0 e_above_lowest_polymorph_ev_per_atom=0.0000 pbc="T T T"
W 0.000 0.000 2.320
W 2.320 0.000 0.000
W 0.000 2.320 0.000
Cd 2.320 2.320 2.320
Ge 0.000 0.000 0.000

=====

No. 4
8
Lattice="6.373 0.000 0.000 0.000 6.373 0.000 0.000 0.000 6.373" Properties=species:S:1:pos:R:3 comment="LiPr3Te4 PBE-GGA optimized geometry" e_tot_ev_per_cell=-39.9 formation_energy_uncorrected_mev_per_atom=-1388 e_above_lowest_polymorph_ev_per_atom=0.0000 pbc="T T T"
Te 3.187 0.000 0.000
Te 3.187 3.187 3.187
Te 0.000 3.187 0.000
Te 0.000 0.000 3.187
Pr 3.187 3.187 0.000
Pr 3.187 0.000 3.187
Pr 0.000 3.187 3.187
Li 0.000 0.000 0.000